(1)
This record from the Alexandria database describes an optimized crystal structure of SrZnSiIr. The functional is PBE.

a b c (Å): 6.1599 6.1599 6.1599
angles (deg): 39.93 39.93 39.93
Last column: nearest neighbours and their distance in Å.
Sites, in units of the cell vectors:
Sr: 0.0000 0.0000 0.0000  4 Ir 3.28-3.40, 3 Si 3.30, 4 Zn 3.35
Zn: 0.1972 0.1972 0.1972  3 Ir 2.62, 3 Si 2.67
Si: 0.4651 0.4651 0.4651  3 Ir 2.43, 3 Zn 2.67
Ir: 0.8067 0.8067 0.8067  3 Si 2.43, 3 Zn 2.62

Output
Calculated volume = 86.8 Å³/cell
Fermi-level density of states = 1.6 states/eV per cell
Crystal system = trigonal
Electronic total energy = -0.1768 Ha/atom

=====

(2)
This record from the Alexandria database describes an optimized crystal structure of Sr2ZnSi4Ir3. The functional is PBE.

a b c (Å): 4.2366 4.2366 10.1642
angles (deg): 90.00 90.00 90.00
Last column: nearest neighbours and their distance in Å.
Sites, in units of the cell vectors:
Sr: 0.0000 0.5000 0.2464  8 Si 3.23-3.28, 6 Ir 3.26-3.34, 2 Zn 3.34
Sr: 0.5000 0.0000 0.7536  8 Si 3.23-3.28, 6 Ir 3.26-3.34, 2 Zn 3.34
Zn: 0.0000 0.0000 0.5000  4 Si 2.52
Si: 0.0000 0.0000 0.0000  4 Ir 2.45
Si: 0.0000 0.5000 0.6346  3 Ir 2.48-2.52, 2 Zn 2.52
Si: 0.5000 0.0000 0.3654  3 Ir 2.48-2.52, 2 Zn 2.52
Si: 0.5000 0.5000 0.0000  4 Ir 2.45
Ir: 0.0000 0.5000 0.8790  5 Si 2.45-2.48
Ir: 0.5000 0.0000 0.1210  5 Si 2.45-2.48
Ir: 0.5000 0.5000 0.5000  4 Si 2.52

Output
Calculated volume = 182.4 Å³/cell
Fermi-level density of states = 5.1 states/eV per cell
Crystal system = tetragonal
Electronic total energy = -0.2178 Ha/atom

=====

(3)
This record from the Alexandria database describes an optimized crystal structure of SrZrSi2Ir. The functional is PBE.

a b c (Å): 5.0224 5.0224 5.0588
angles (deg): 90.00 90.00 90.00
Last column: nearest neighbours and their distance in Å.
Sites, in units of the cell vectors:
Sr: 0.0000 0.0000 0.0000  4 Si 2.51, 2 Zr 2.53
Zr: 0.0000 0.0000 0.5000  2 Sr 2.53
Si: 0.0000 0.5000 0.0000  2 Sr 2.51
Si: 0.5000 0.0000 0.0000  2 Sr 2.51
Ir: 0.5000 0.5000 0.5000  4 Zr 3.55, 8 Si 3.56

Output
Calculated volume = 127.6 Å³/cell
Fermi-level density of states = 8.6 states/eV per cell
Crystal system = tetragonal
Electronic total energy = -0.1317 Ha/atom

=====

(4)
This record from the Alexandria database describes an optimized crystal structure of TaSiIr4. The functional is PBE.

a b c (Å): 5.1564 5.1564 5.1564
angles (deg): 60.00 60.00 60.00
Last column: nearest neighbours and their distance in Å.
Sites, in units of the cell vectors:
Ta: 0.0000 0.0000 0.0000  12 Ir 3.02, 4 Si 3.16
Si: 0.2500 0.2500 0.2500  12 Ir 3.02, 4 Ta 3.16
Ir: 0.1257 0.6248 0.6248  6 Ir 2.57-2.58
Ir: 0.6248 0.1257 0.6248  6 Ir 2.57-2.58
Ir: 0.6248 0.6248 0.1257  6 Ir 2.57-2.58
Ir: 0.6248 0.6248 0.6248  6 Ir 2.57-2.58

Output
Calculated volume = 96.9 Å³/cell
Fermi-level density of states = 5.4 states/eV per cell
Crystal system = cubic
Electronic total energy = -0.3157 Ha/atom

=====

(5)
This record from the Alexandria database describes an optimized crystal structure of Ta4SiIr. The functional is PBE.

a b c (Å): 5.3376 5.3376 5.3376
angles (deg): 60.00 60.00 60.00
Last column: nearest neighbours and their distance in Å.
Sites, in units of the cell vectors:
Ta: 0.3759 0.3759 0.3759  6 Ta 2.65-2.69
Ta: 0.3759 0.3759 0.8722  6 Ta 2.65-2.69
Ta: 0.3759 0.8722 0.3759  6 Ta 2.65-2.69
Ta: 0.8722 0.3759 0.3759  6 Ta 2.65-2.69
Si: 0.7500 0.7500 0.7500  12 Ta 3.13, 4 Ir 3.27
Ir: 0.0000 0.0000 0.0000  12 Ta 3.13, 4 Si 3.27

Output
Calculated volume = 107.5 Å³/cell
Fermi-level density of states = 4.7 states/eV per cell
Crystal system = cubic
Electronic total energy = -0.3616 Ha/atom

=====

(6)
This record from the Alexandria database describes an optimized crystal structure of TaSi4Ir. The functional is PBE.

a b c (Å): 4.8962 4.8962 4.8962
angles (deg): 60.00 60.00 60.00
Last column: nearest neighbours and their distance in Å.
Sites, in units of the cell vectors:
Ta: 0.0000 0.0000 0.0000  12 Si 2.87, 4 Ir 3.00
Si: 0.1254 0.6249 0.6249  6 Si 2.45
Si: 0.6249 0.1254 0.6249  6 Si 2.45
Si: 0.6249 0.6249 0.1254  6 Si 2.45
Si: 0.6249 0.6249 0.6249  6 Si 2.45
Ir: 0.2500 0.2500 0.2500  12 Si 2.87, 4 Ta 3.00

Output
Calculated volume = 83.0 Å³/cell
Fermi-level density of states = 3.4 states/eV per cell
Crystal system = cubic
Electronic total energy = -0.2500 Ha/atom

=====

(7)
This record from the Alexandria database describes an optimized crystal structure of TaSiIr3. The functional is PBE.

a b c (Å): 4.7890 4.7890 4.7890
angles (deg): 90.00 90.00 90.00
Last column: nearest neighbours and their distance in Å.
Sites, in units of the cell vectors:
Ta: 0.0000 0.0000 0.0000  6 Ir 2.39
Si: 0.5000 0.5000 0.5000  12 Ir 3.39
Ir: 0.0000 0.0000 0.5000  2 Ta 2.39
Ir: 0.0000 0.5000 0.0000  2 Ta 2.39
Ir: 0.5000 0.0000 0.0000  2 Ta 2.39

Output
Calculated volume = 109.8 Å³/cell
Fermi-level density of states = 5.1 states/eV per cell
Crystal system = cubic
Polymorph energy (0 for the lowest one) = 5.21 eV/f.u.

=====

(8)
This record from the Alexandria database describes an optimized crystal structure of TaSi3Ir. The functional is PBE.

a b c (Å): 4.7630 4.7630 4.7630
angles (deg): 90.00 90.00 90.00
Last column: nearest neighbours and their distance in Å.
Sites, in units of the cell vectors:
Ta: 0.0000 0.0000 0.0000  6 Si 2.38
Si: 0.0000 0.0000 0.5000  2 Ta 2.38
Si: 0.0000 0.5000 0.0000  2 Ta 2.38
Si: 0.5000 0.0000 0.0000  2 Ta 2.38
Ir: 0.5000 0.5000 0.5000  12 Si 3.37

Output
Calculated volume = 108.1 Å³/cell
Fermi-level density of states = 4.8 states/eV per cell
Crystal system = cubic
Electronic total energy = -0.2194 Ha/atom

=====

(9)
This record from the Alexandria database describes an optimized crystal structure of TaSiIr3. The functional is PBE.

a b c (Å): 4.4033 4.4033 4.4033
angles (deg): 90.00 90.00 90.00
Last column: nearest neighbours and their distance in Å.
Sites, in units of the cell vectors:
Ta: 0.0000 0.0000 0.0000  12 Ir 3.11
Si: 0.5000 0.5000 0.5000  6 Ir 2.20
Ir: 0.0000 0.5000 0.5000  2 Si 2.20
Ir: 0.5000 0.0000 0.5000  2 Si 2.20
Ir: 0.5000 0.5000 0.0000  2 Si 2.20

Output
Calculated volume = 85.4 Å³/cell
Fermi-level density of states = 7.6 states/eV per cell
Crystal system = cubic
Polymorph energy (0 for the lowest one) = 0.00 eV/f.u.

=====

(10)
This record from the Alexandria database describes an optimized crystal structure of TaSi3Ir. The functional is PBE.

a b c (Å): 4.6004 4.6004 4.6004
angles (deg): 90.00 90.00 90.00
Last column: nearest neighbours and their distance in Å.
Sites, in units of the cell vectors:
Ta: 0.0000 0.0000 0.0000  12 Si 3.25
Si: 0.0000 0.5000 0.5000  2 Ir 2.30
Si: 0.5000 0.0000 0.5000  2 Ir 2.30
Si: 0.5000 0.5000 0.0000  2 Ir 2.30
Ir: 0.5000 0.5000 0.5000  6 Si 2.30

Output
Calculated volume = 97.4 Å³/cell
Fermi-level density of states = 5.0 states/eV per cell
Crystal system = cubic
Electronic total energy = -0.2353 Ha/atom

=====

(11)
This record from the Alexandria database describes an optimized crystal structure of Th2TaSi4Ir3. The functional is PBE.

a b c (Å): 4.1803 4.1803 10.3967
angles (deg): 90.00 90.00 90.00
Last column: nearest neighbours and their distance in Å.
Sites, in units of the cell vectors:
Th: 0.0000 0.5000 0.2371  6 Ir 3.19-3.44, 8 Si 3.20-3.23, 2 Ta 3.44
Th: 0.5000 0.0000 0.7629  6 Ir 3.19-3.44, 8 Si 3.20-3.23, 2 Ta 3.44
Ta: 0.0000 0.0000 0.5000  4 Si 2.58
Si: 0.0000 0.0000 0.0000  4 Ir 2.44
Si: 0.0000 0.5000 0.6461  3 Ir 2.42-2.58, 2 Ta 2.58
Si: 0.5000 0.0000 0.3539  3 Ir 2.42-2.58, 2 Ta 2.58
Si: 0.5000 0.5000 0.0000  4 Ir 2.44
Ir: 0.0000 0.5000 0.8792  5 Si 2.42-2.44
Ir: 0.5000 0.0000 0.1208  5 Si 2.42-2.44
Ir: 0.5000 0.5000 0.5000  4 Si 2.58

Output
Calculated volume = 181.7 Å³/cell
Fermi-level density of states = 4.0 states/eV per cell
Crystal system = tetragonal
Electronic total energy = -0.3097 Ha/atom

=====

(12)
This record from the Alexandria database describes an optimized crystal structure of Th2TaSi3Ir4. The functional is PBE.

a b c (Å): 4.1998 4.1998 10.3300
angles (deg): 90.00 90.00 90.00
Last column: nearest neighbours and their distance in Å.
Sites, in units of the cell vectors:
Th: 0.0000 0.5000 0.2454  8 Ir 3.20-3.29, 6 Si 3.21-3.37, 2 Ta 3.37
Th: 0.5000 0.0000 0.7546  8 Ir 3.20-3.29, 6 Si 3.21-3.37, 2 Ta 3.37
Ta: 0.0000 0.0000 0.5000  4 Ir 2.55
Si: 0.0000 0.5000 0.8731  5 Ir 2.41-2.48
Si: 0.5000 0.0000 0.1269  5 Ir 2.41-2.48
Si: 0.5000 0.5000 0.5000  4 Ir 2.55
Ir: 0.0000 0.0000 0.0000  4 Si 2.48
Ir: 0.0000 0.5000 0.6396  3 Si 2.41-2.55, 2 Ta 2.55
Ir: 0.5000 0.0000 0.3604  3 Si 2.41-2.55, 2 Ta 2.55
Ir: 0.5000 0.5000 0.0000  4 Si 2.48

Output
Calculated volume = 182.2 Å³/cell
Fermi-level density of states = 5.7 states/eV per cell
Crystal system = tetragonal
Electronic total energy = -0.3246 Ha/atom